[1]
FeBiAs2Br: optimized geometry, PBE-GGA.

Structure (CIF):
```
data_FeBiAs2Br
_symmetry_space_group_name_H-M 'P 1'
_symmetry_Int_Tables_number 1
_symmetry_space_group_name_Hall 'P 1'
_cell_length_a 4.627
_cell_length_b 4.627
_cell_length_c 5.271
_cell_angle_alpha 90.00
_cell_angle_beta 90.00
_cell_angle_gamma 90.00
loop_
_atom_site_label
_atom_site_fract_x
_atom_site_fract_y
_atom_site_fract_z
Fe1 0.000 0.000 0.000
Bi1 0.500 0.500 0.500
As1 0.000 0.500 0.000
As2 0.500 0.000 0.000
Br1 0.000 0.000 0.500
```

Polymorph energy (0 for the lowest one) in eV/atom: 0.000
Calculated total energy in eV per cell: -21.63
Formation energy without anion corrections in meV/atom: 338
Volume in Å³/cell: 113
Spin magnetization in μB/cell: 1.95

[2]
KLa3Ce2Te6: optimized geometry, PBE-GGA.

Structure (CIF):
```
data_KLa3Ce2Te6
_symmetry_space_group_name_H-M 'P 1'
_symmetry_Int_Tables_number 1
_symmetry_space_group_name_Hall 'P 1'
_cell_length_a 10.284
_cell_length_b 10.284
_cell_length_c 9.289
_cell_angle_alpha 102.72
_cell_angle_beta 102.72
_cell_angle_gamma 25.62
loop_
_atom_site_label
_atom_site_fract_x
_atom_site_fract_y
_atom_site_fract_z
K1 0.000 0.000 0.000
La1 0.000 0.000 0.500
La2 0.336 0.336 0.172
La3 0.664 0.664 0.828
Ce1 0.331 0.331 0.660
Ce2 0.669 0.669 0.340
Te1 0.166 0.166 0.581
Te2 0.171 0.171 0.088
Te3 0.496 0.496 0.740
Te4 0.504 0.504 0.260
Te5 0.829 0.829 0.912
Te6 0.834 0.834 0.419
```

Calculated total energy in eV per cell: -64.05
Formation energy without anion corrections in meV/atom: -1454
Volume in Å³/cell: 414
Spin magnetization in μB/cell: 2.61

[3]
NpTeN: optimized geometry, PBE-GGA.

Structure (CIF):
```
data_NpTeN
_symmetry_space_group_name_H-M 'P 1'
_symmetry_Int_Tables_number 1
_symmetry_space_group_name_Hall 'P 1'
_cell_length_a 3.794
_cell_length_b 3.794
_cell_length_c 4.709
_cell_angle_alpha 90.00
_cell_angle_beta 90.00
_cell_angle_gamma 120.00
loop_
_atom_site_label
_atom_site_fract_x
_atom_site_fract_y
_atom_site_fract_z
Np1 0.000 0.000 0.000
Te1 0.667 0.333 0.500
N1 0.333 0.667 0.000
```

Polymorph energy (0 for the lowest one) in eV/atom: 0.238
Calculated total energy in eV per cell: -26.71
Formation energy without anion corrections in meV/atom: -766
Volume in Å³/cell: 59
Spin magnetization in μB/cell: 2.10